12
Lattice="5.052 0.000 0.000 -2.526 4.375 0.000 0.000 0.000 8.181" Properties=species:S:1:pos:R:3 comment="ThCu8Au3 PBE-GGA optimized geometry" ef_ev_per_atom=-0.1155 e_tot_ev_per_cell=-51.407 mass_density_g_cm3=12.23 volume_a3_per_cell=180.8 total_magnetization_mub_per_cell=0.0 pbc="T T T"
Th 0.000 0.000 0.000
Cu 0.000 1.451 5.558
Cu -1.269 3.649 5.558
Cu 0.000 2.917 3.567
Cu 0.000 2.917 7.656
Cu 2.526 0.024 1.633
Cu 1.284 2.175 1.633
Cu 1.269 3.649 5.558
Cu 3.768 2.175 1.633
Au 0.000 0.000 3.136
Au 2.526 1.458 4.079
Au 2.526 1.458 7.050